[1]
Entry from Alexandria: Na2Sn2I7 after structural relaxation (GGA-PBE).

Cell: 8.4988 8.5553 8.5553 Å, 110.18 92.79 92.79°
Atoms (fractional coordinates):
Sn  0.3719  0.2788  0.2788
I  0.8268  0.6029  0.9415
I  0.7387  0.4231  0.4231
I  0.2613  0.5769  0.5769
I  0.5000  0.0000  0.0000
Na  0.0000  0.3244  0.6756
I  0.1732  0.0585  0.3971
I  0.8268  0.9415  0.6029
Sn  0.6281  0.7212  0.7212
Na  0.0000  0.6756  0.3244
I  0.1732  0.3971  0.0585

## Properties
**E_form (uncorrected)**: -7.3 eV/f.u.
**Total moment**: 0.0 μB/cell
**Crystal system**: monoclinic
**Symmetry**: C2/m (12)
**Fermi-level density of states**: 4.532 states/eV/cell
**Raw total energy**: -0.0962 Ha/atom

---

[2]
Entry from Alexandria: NiBiSe3 after structural relaxation (GGA-PBE).

Cell: 4.7691 4.7691 4.7691 Å, 90.00 90.00 90.00°
Atoms (fractional coordinates):
Ni  0.0000  0.0000  0.0000
Se  0.0000  0.5000  0.0000
Se  0.0000  0.0000  0.5000
Se  0.5000  0.0000  0.0000
Bi  0.5000  0.5000  0.5000

## Properties
**E_form (uncorrected)**: 0.3 eV/f.u.
**Total moment**: 0.0 μB/cell
**Crystal system**: cubic
**Symmetry**: Pm-3m (221)
**Fermi-level density of states**: 3.627 states/eV/cell
**Raw total energy**: -0.1454 Ha/atom
**Energy relative to the lowest polymorph listed for this composition**: 0.000 eV/atom

---

[3]
Entry from Alexandria: TlAsRh after structural relaxation (GGA-PBE).

Cell: 6.7191 6.7189 3.1518 Å, 76.44 76.44 27.13°
Atoms (fractional coordinates):
Tl  0.6811  0.6812  0.3189
As  0.9566  0.9567  0.0434
Rh  0.3623  0.3621  0.6377

## Properties
**ΔE_f**: -0.105 eV per atom
**Total moment**: 0.0 μB/cell
**Crystal system**: tetragonal
**Symmetry**: I4mm (107)
**Fermi-level density of states**: 2.926 states/eV/cell
**Raw total energy**: -0.1798 Ha/atom
**Energy relative to the lowest polymorph listed for this composition**: 0.187 eV/atom

---

[4]
Entry from Alexandria: PuAgCl2 after structural relaxation (GGA-PBE).

Cell: 3.7929 3.7929 9.0721 Å, 77.93 77.93 60.00°
Site moments in Bohr magnetons follow the coordinates.
Atoms (fractional coordinates):
Pu  0.0000  0.0000  0.0000  5.80
Cl  0.8970  0.8970  0.3089  -0.02
Ag  0.5000  0.5000  0.5000  0.00
Cl  0.1030  0.1030  0.6911  -0.02

## Properties
**E_form (uncorrected)**: -2.4 eV/f.u.
**Total moment**: 6.4 μB/cell
**Crystal system**: trigonal
**Symmetry**: R-3m (166)
**Fermi-level density of states**: 10.878 states/eV/cell
**Raw total energy**: -0.2136 Ha/atom

---

[5]
Entry from Alexandria: CrBi2Se after structural relaxation (GGA-PBE).

Cell: 6.2570 6.2570 8.3923 Å, 68.11 68.11 90.00°
Site moments in Bohr magnetons follow the coordinates.
Atoms (fractional coordinates):
Bi  0.1516  0.6250  0.2500  -0.15
Cr  0.2500  0.7500  0.5000  3.58
Bi  0.5984  0.1250  0.2500  -0.15
Cr  0.5000  0.5000  0.0000  3.58
Se  0.7500  0.2500  0.5000  0.18
Bi  0.8750  0.8484  0.7500  -0.14
Bi  0.3750  0.4016  0.7500  -0.14
Se  0.0000  0.0000  0.0000  0.18

## Properties
**E_form (uncorrected)**: 1.8 eV/f.u.
**Total moment**: 8.0 μB/cell
**Crystal system**: tetragonal
**Symmetry**: I-42d (122)
**Fermi-level density of states**: 1.558 states/eV/cell
**Raw total energy**: -0.1748 Ha/atom

---

[6]
Entry from Alexandria: CaZnRh2 after structural relaxation (GGA-PBE).

Cell: 6.7845 5.4556 9.2910 Å, 90.00 90.00 90.00°
Site moments in Bohr magnetons follow the coordinates.
Atoms (fractional coordinates):
Zn  0.0000  0.2500  0.2369  0.00
Rh  0.0000  0.5000  0.0000  0.11
Rh  0.5000  0.0000  0.5000  0.04
Ca  0.5000  0.2500  0.7837  0.00
Rh  0.6874  0.2500  0.0493  0.13
Zn  0.0000  0.7500  0.7631  0.00
Ca  0.0000  0.7500  0.3761  0.00
Rh  0.5000  0.5000  0.5000  0.04
Rh  0.6874  0.7500  0.9507  0.13
Rh  0.0000  0.0000  0.0000  0.11
Ca  0.5000  0.7500  0.2163  0.00
Zn  0.5000  0.7500  0.7185  0.00
Rh  0.3126  0.7500  0.9507  0.13
Rh  0.3126  0.2500  0.0493  0.13
Ca  0.0000  0.2500  0.6239  0.00
Zn  0.5000  0.2500  0.2815  0.00

## Properties
**ΔE_f**: 0.074 eV per atom
**Total moment**: 0.8 μB/cell
**Crystal system**: orthorhombic
**Symmetry**: Pmma (51)
**Fermi-level density of states**: 17.225 states/eV/cell
**Raw total energy**: -0.1624 Ha/atom

---

[7]
Entry from Alexandria: CsIn2Ge2 after structural relaxation (GGA-PBE).

Cell: 4.9998 4.9998 6.8841 Å, 68.71 68.71 90.00°
Atoms (fractional coordinates):
Ge  0.7500  0.2500  0.5000
In  0.3712  0.3712  0.2576
Cs  0.0000  0.0000  0.0000
In  0.6288  0.6288  0.7424
Ge  0.2500  0.7500  0.5000

## Properties
**ΔE_f**: -0.044 eV per atom
**Total moment**: 0.0 μB/cell
**Crystal system**: tetragonal
**Symmetry**: I4/mmm (139)
**Fermi-level density of states**: 1.899 states/eV/cell
**Raw total energy**: -0.1160 Ha/atom
**Energy relative to the lowest polymorph listed for this composition**: 0.007 eV/atom

---

[8]
Entry from Alexandria: TcHS2 after structural relaxation (GGA-PBE).

Cell: 3.1302 6.7526 7.0484 Å, 108.07 116.10 90.02°
Atoms (fractional coordinates):
Tc  0.6090  0.9143  0.5749
H  0.6621  0.9332  0.1257
S  0.8097  0.2907  0.7778
Tc  0.1010  0.4232  0.5669
S  0.3907  0.5506  0.3545
S  0.3192  0.7869  0.7872
H  0.0478  0.4043  0.0160
S  0.9003  0.0468  0.3639

## Properties
**Total moment**: 0.0 μB/cell
**Crystal system**: triclinic
**Symmetry**: P-1 (2)
**Fermi-level density of states**: 3.818 states/eV/cell
**Raw total energy**: -0.2087 Ha/atom
**Energy relative to the lowest polymorph listed for this composition**: 0.000 eV/atom

---

[9]
Entry from Alexandria: SrGe3Se after structural relaxation (GGA-PBE).

Cell: 5.7143 5.7143 5.7143 Å, 90.00 90.00 90.00°
Site moments in Bohr magnetons follow the coordinates.
Atoms (fractional coordinates):
Se  0.5000  0.5000  0.5000  0.10
Ge  0.0000  0.5000  0.0000  0.23
Ge  0.0000  0.0000  0.5000  0.20
Ge  0.5000  0.0000  0.0000  0.14
Sr  0.0000  0.0000  0.0000  0.16

## Properties
**E_form (uncorrected)**: 6.6 eV/f.u.
**Total moment**: 1.6 μB/cell
**Crystal system**: cubic
**Symmetry**: Pm-3m (221)
**Fermi-level density of states**: 7.579 states/eV/cell
**Raw total energy**: -0.0912 Ha/atom
**Energy relative to the lowest polymorph listed for this composition**: 1.154 eV/atom

---

[10]
Entry from Alexandria: La3Bi2N2 after structural relaxation (GGA-PBE).

Cell: 5.3018 5.8670 6.9123 Å, 100.84 90.00 116.86°
Atoms (fractional coordinates):
La  0.7001  0.4002  0.3363
N  0.1795  0.3590  0.3278
La  0.2999  0.5998  0.6637
La  0.0000  0.0000  0.0000
Bi  0.6310  0.2619  0.8116
Bi  0.3690  0.7381  0.1884
N  0.8205  0.6410  0.6722

## Properties
**E_form (uncorrected)**: -5.4 eV/f.u.
**Total moment**: 0.0 μB/cell
**Crystal system**: monoclinic
**Symmetry**: C2/m (12)
**Fermi-level density of states**: 3.610 states/eV/cell
**Raw total energy**: -0.2343 Ha/atom

---

[11]
Entry from Alexandria: Ce3Dy2TmAs6 after structural relaxation (GGA-PBE).

Cell: 7.2079 7.2079 7.1919 Å, 99.62 99.62 120.00°
Site moments in Bohr magnetons follow the coordinates.
Atoms (fractional coordinates):
As  0.2497  0.2497  0.7553  -0.02
Ce  0.8328  0.1672  0.5000  0.59
As  0.4127  0.0813  0.2441  -0.02
Dy  0.3335  0.6665  0.0000  0.01
As  0.0813  0.4127  0.2441  -0.02
As  0.7503  0.7503  0.2447  -0.02
As  0.9187  0.5873  0.7559  -0.02
As  0.5873  0.9187  0.7559  -0.02
Ce  0.1672  0.8328  0.5000  0.59
Tm  0.0000  0.0000  0.0000  0.00
Ce  0.5000  0.5000  0.5000  0.59
Dy  0.6665  0.3335  0.0000  0.01

## Properties
**ΔE_f**: -1.475 eV per atom
**Total moment**: 1.9 μB/cell
**Crystal system**: monoclinic
**Symmetry**: C2/m (12)
**Fermi-level density of states**: 16.349 states/eV/cell
**Raw total energy**: -0.2360 Ha/atom

---

[12]
Entry from Alexandria: PrCoB4 after structural relaxation (GGA-PBE).

Cell: 3.5083 6.0361 6.0361 Å, 104.07 90.00 90.00°
Site moments in Bohr magnetons follow the coordinates.
Atoms (fractional coordinates):
B  0.5000  0.9320  0.6280  0.01
B  0.5000  0.3720  0.0680  0.01
Co  0.0000  0.8238  0.8238  0.20
Pr  0.0000  0.3011  0.6989  0.00
Pr  0.0000  0.6989  0.3011  0.00
B  0.5000  0.6280  0.9320  0.01
B  0.5000  0.3633  0.3633  0.01
Co  0.0000  0.1762  0.1762  0.20
B  0.5000  0.0882  0.9118  0.00
B  0.5000  0.6367  0.6367  0.01
B  0.5000  0.0680  0.3720  0.01
B  0.5000  0.9118  0.0882  0.00

## Properties
**ΔE_f**: -0.405 eV per atom
**Total moment**: 0.4 μB/cell
**Crystal system**: orthorhombic
**Symmetry**: Cmmm (65)
**Fermi-level density of states**: 6.111 states/eV/cell
**Raw total energy**: -0.2513 Ha/atom